ScSiTc: optimized geometry, PBE-GGA.

Results
The energy above the most stable polymorph in this dataset is 74 meV/atom.

Structure (POSCAR):
```
ScSiTc
1.0
3.225 0.000 0.000
0.000 3.225 0.000
0.000 0.000 9.604
Tc Si Sc
2 2 2
direct
0.000 0.500 0.809 Tc
0.500 0.000 0.191 Tc
0.500 0.000 0.927 Si
0.000 0.500 0.073 Si
0.500 0.000 0.636 Sc
0.000 0.500 0.364 Sc
```

Sm2IrAu2: optimized geometry, PBE-GGA.

Structure (POSCAR):
```
Sm2IrAu2
1.0
-3.185 6.396 3.039
3.185 -6.396 3.039
3.185 6.396 -3.039
Sm Ir Au
4 2 4
direct
0.142 0.235 0.377 Sm
0.642 0.265 0.907 Sm
0.358 0.735 0.093 Sm
0.858 0.765 0.623 Sm
0.750 0.250 0.500 Ir
0.250 0.750 0.500 Ir
0.375 0.266 0.641 Au
0.125 0.766 0.890 Au
0.625 0.734 0.359 Au
0.875 0.234 0.110 Au
```

KNdCoS3: optimized geometry, PBE-GGA.

Structure (POSCAR):
```
KNdCoS3
1.0
8.194 -2.110 0.000
8.194 2.110 0.000
-2.050 0.000 8.174
Co S Nd K
2 6 2 2
direct
0.501 0.501 0.757 Co
0.499 0.499 0.243 Co
0.500 0.500 0.500 S
0.000 0.000 0.000 S
0.654 0.654 0.855 S
0.647 0.647 0.301 S
0.346 0.346 0.145 S
0.353 0.353 0.699 S
0.834 0.834 0.906 Nd
0.166 0.166 0.094 Nd
0.856 0.856 0.428 K
0.144 0.144 0.572 K
```

NaSn5Au3: optimized geometry, PBE-GGA.

Structure (POSCAR):
```
NaSn5Au3
1.0
-4.366 -0.462 3.721
0.567 -3.828 -4.261
4.781 -4.864 5.005
Na Sn Au
1 5 3
direct
0.000 0.000 0.000 Na
0.667 0.333 0.198 Sn
0.333 0.667 0.802 Sn
0.333 0.667 0.198 Sn
0.000 0.000 0.500 Sn
0.667 0.333 0.802 Sn
0.000 0.500 0.500 Au
0.500 0.500 0.500 Au
0.500 0.000 0.500 Au
```

Y3In3AgIrPd: optimized geometry, PBE-GGA.

Structure (POSCAR):
```
Y3In3AgIrPd
1.0
7.838 0.000 0.000
-3.919 6.788 0.000
0.000 0.000 3.796
In Y Ag Ir Pd
3 3 1 1 1
direct
0.267 0.273 0.000 In
0.006 0.733 0.000 In
0.727 0.994 0.000 In
0.600 0.582 0.500 Y
0.418 0.018 0.500 Y
0.982 0.400 0.500 Y
0.000 0.000 0.500 Ag
0.667 0.333 0.000 Ir
0.333 0.667 0.000 Pd
```

NbFeAu: optimized geometry, PBE-GGA.

Results
The energy above the most stable polymorph in this dataset is 0 meV/atom.

Structure (POSCAR):
```
NbFeAu
1.0
-4.000 -0.661 1.061
-3.029 2.367 -1.668
-2.660 -1.656 -2.783
Au Nb Fe
1 1 1
direct
0.250 0.250 0.250 Au
0.750 0.750 0.750 Nb
0.000 0.000 0.000 Fe
```

TbSmPt4: optimized geometry, PBE-GGA.

Structure (POSCAR):
```
TbSmPt4
1.0
0.000 3.856 3.856
3.856 0.000 3.856
3.856 3.856 0.000
Sm Tb Pt
1 1 4
direct
0.000 0.000 0.000 Sm
0.750 0.750 0.750 Tb
0.375 0.874 0.375 Pt
0.874 0.375 0.375 Pt
0.375 0.375 0.874 Pt
0.375 0.375 0.375 Pt
```

CsHoAg: optimized geometry, PBE-GGA.

Results
The energy above the most stable polymorph in this dataset is 328 meV/atom.

Structure (POSCAR):
```
CsHoAg
1.0
-4.984 1.677 0.891
-1.950 0.049 4.964
-0.848 4.642 2.486
Ag Ho Cs
1 1 1
direct
0.250 0.250 0.250 Ag
0.750 0.750 0.750 Ho
0.000 0.000 0.000 Cs
```

TeHAu: optimized geometry, PBE-GGA.

Structure (POSCAR):
```
TeHAu
1.0
-0.551 2.279 3.339
-6.142 -2.607 0.671
5.159 -4.147 1.208
Au H Te
2 2 2
direct
0.355 0.742 0.684 Au
0.855 0.242 0.684 Au
0.815 0.740 0.125 H
0.913 0.742 0.240 H
0.237 0.304 0.443 Te
0.473 0.180 0.925 Te
```

TmCo3P2: optimized geometry, PBE-GGA.

Structure (POSCAR):
```
TmCo3P2
1.0
-3.122 -9.549 -2.869
3.455 -0.896 -0.778
1.538 -3.906 11.327
Co P Tm
18 12 6
direct
0.250 0.250 0.840 Co
0.917 0.750 0.995 Co
0.629 0.250 0.291 Co
0.417 0.250 0.005 Co
0.750 0.750 0.160 Co
0.452 0.250 0.569 Co
0.129 0.750 0.709 Co
0.371 0.750 0.709 Co
0.083 0.250 0.005 Co
0.871 0.250 0.291 Co
0.250 0.750 0.014 Co
0.952 0.750 0.431 Co
0.583 0.750 0.995 Co
0.048 0.250 0.569 Co
0.750 0.250 0.986 Co
0.548 0.750 0.431 Co
0.250 0.250 0.297 Co
0.750 0.750 0.703 Co
0.562 0.750 0.616 P
0.750 0.750 0.345 P
0.097 0.750 0.892 P
0.062 0.250 0.384 P
0.403 0.750 0.892 P
0.250 0.250 0.655 P
0.750 0.750 0.881 P
0.250 0.250 0.119 P
0.597 0.250 0.108 P
0.438 0.250 0.384 P
0.938 0.750 0.616 P
0.903 0.250 0.108 P
0.068 0.750 0.206 Tm
0.568 0.250 0.794 Tm
0.932 0.250 0.794 Tm
0.250 0.750 0.477 Tm
0.750 0.250 0.523 Tm
0.432 0.750 0.206 Tm
```

YAg2: optimized geometry, PBE-GGA.

Structure (POSCAR):
```
YAg2
1.0
-2.829 2.829 3.999
2.829 -2.829 3.999
2.829 2.829 -3.999
Y Ag
2 4
direct
0.625 0.875 0.750 Y
0.375 0.125 0.250 Y
0.500 0.500 0.000 Ag
0.000 0.000 0.500 Ag
0.000 0.500 0.500 Ag
0.000 0.500 0.000 Ag
```

Pr2Tl: optimized geometry, PBE-GGA.

Structure (POSCAR):
```
Pr2Tl
1.0
0.000 4.600 4.600
4.600 0.000 4.600
4.600 4.600 0.000
Pr Tl
4 2
direct
0.625 0.625 0.625 Pr
0.125 0.625 0.625 Pr
0.625 0.625 0.125 Pr
0.625 0.125 0.625 Pr
0.000 0.000 0.000 Tl
0.250 0.250 0.250 Tl
```

Number 1: total DFT energy (no corrections) -7.9126 eV per atom. Number 2: total DFT energy (no corrections) -5.6088 eV per atom. Number 3: total DFT energy (no corrections) -5.2811 eV per atom. Number 4: total DFT energy (no corrections) -3.4971 eV per atom. Number 5: total DFT energy (no corrections) -5.6147 eV per atom. Number 6: total DFT energy (no corrections) -6.8587 eV per atom. Number 7: total DFT energy (no corrections) -6.6829 eV per atom. Number 8: total DFT energy (no corrections) -1.5934 eV per atom. Number 9: total DFT energy (no corrections) -3.3163 eV per atom. Number 10: total DFT energy (no corrections) -7.0515 eV per atom. Number 11: total DFT energy (no corrections) -4.2221 eV per atom. Number 12: total DFT energy (no corrections) -3.8142 eV per atom.